1.
This record from the Alexandria database describes an optimized crystal structure of KNa3Tl6. The functional is PBE.

Structure (CIF):
```
data_KNa3Tl6
_chemical_formula_sum 'K2 Na6 Tl12'
_space_group_name_H-M_alt 'P n n m'
_space_group_IT_number 58
_cell_length_a 9.756
_cell_length_b 11.855
_cell_length_c 5.722
_cell_angle_alpha 90.00
_cell_angle_beta 90.00
_cell_angle_gamma 90.00
loop_
_space_group_symop_operation_xyz
'x,y,z'
'-x,-y,-z'
'-x,-y,z'
'x,y,-z'
'x+1/2,-y+1/2,-z+1/2'
'-x+1/2,y+1/2,z+1/2'
'-x+1/2,y+1/2,-z+1/2'
'x+1/2,-y+1/2,z+1/2'
loop_
_atom_site_label
_atom_site_type_symbol
_atom_site_fract_x
_atom_site_fract_y
_atom_site_fract_z
K1 K 0.000 0.000 0.000
Na1 Na 0.000 0.500 0.500
Na2 Na 0.249 0.042 0.500
Tl1 Tl 0.046 0.323 0.000
Tl2 Tl 0.096 0.787 0.500
Tl3 Tl 0.228 0.312 0.500
```

Calculated values
ΔH_f (0 K) in eV/atom: -0.051
DFT total energy in Ry per atom: -0.1452
Magnetic moment in Bohr magnetons per cell: 0.000
Calculated density in g/cm3: 6.696

=====

2.
This record from the Alexandria database describes an optimized crystal structure of K8Na6Tl. The functional is PBE.

Structure (CIF):
```
data_K8Na6Tl
_chemical_formula_sum 'K24 Na18 Tl3'
_space_group_name_H-M_alt 'R -3'
_space_group_IT_number 148
_space_group_name_Hall '-R 3'
_cell_length_a 11.7416
_cell_length_b 11.7416
_cell_length_c 19.8923
_cell_angle_alpha 90.00
_cell_angle_beta 90.00
_cell_angle_gamma 120.00
loop_
_atom_site_label
_atom_site_type_symbol
_atom_site_fract_x
_atom_site_fract_y
_atom_site_fract_z
K1 K 0.0000 0.0000 0.1141
K2 K 0.0876 0.8508 0.6747
Na1 Na 0.0212 0.3102 0.4983
Tl1 Tl 0.0000 0.0000 0.5000
```

Calculated values
ΔH_f (0 K) in eV/atom: 0.015
DFT total energy in Ry per atom: -0.0923
Magnetic moment in Bohr magnetons per cell: 0.000
Calculated density in g/cm3: 1.374

=====

3.
This record from the Alexandria database describes an optimized crystal structure of K2Na2Tl. The functional is PBE.

Structure (CIF):
```
data_K2Na2Tl
_chemical_formula_sum 'K4 Na4 Tl2'
_space_group_name_H-M_alt 'P 4/m b m'
_space_group_IT_number 127
_space_group_name_Hall '-P 4 2ab'
_cell_length_a 9.864
_cell_length_b 9.864
_cell_length_c 4.767
_cell_angle_alpha 90.00
_cell_angle_beta 90.00
_cell_angle_gamma 90.00
loop_
_atom_site_label
_atom_site_type_symbol
_atom_site_fract_x
_atom_site_fract_y
_atom_site_fract_z
K1 K 0.150 0.350 0.000
Na1 Na 0.158 0.658 0.500
Tl1 Tl 0.000 0.000 0.000
```

Calculated values
ΔH_f (0 K) in eV/atom: 0.125
E above lowest polymorph in eV/f.u.: 0.67
DFT total energy in Ry per atom: -0.0967
Magnetic moment in Bohr magnetons per cell: 0.000
Calculated density in g/cm3: 2.353

=====

4.
This record from the Alexandria database describes an optimized crystal structure of K2Na7Tl. The functional is PBE.

Structure (CIF):
```
data_K2Na7Tl
_chemical_formula_sum 'K2 Na7 Tl1'
_space_group_name_H-M_alt 'P -4 m 2'
_space_group_IT_number 115
_cell_length_a 5.109
_cell_length_b 5.109
_cell_length_c 16.344
_cell_angle_alpha 90.00
_cell_angle_beta 90.00
_cell_angle_gamma 90.00
loop_
_space_group_symop_operation_xyz
'x,y,z'
'y,-x,-z'
'-x,-y,z'
'-y,x,-z'
'-x,y,z'
'-y,-x,-z'
'x,-y,z'
'y,x,-z'
loop_
_atom_site_label
_atom_site_type_symbol
_atom_site_fract_x
_atom_site_fract_y
_atom_site_fract_z
K1 K 0.000 0.500 0.226
Na1 Na 0.000 0.000 0.000
Na2 Na 0.000 0.000 0.500
Na3 Na 0.000 0.500 0.655
Na4 Na 0.000 0.500 0.870
Na5 Na 0.500 0.500 0.500
Tl1 Tl 0.500 0.500 0.000
```

Calculated values
ΔH_f (0 K) in eV/atom: 0.034
E above lowest polymorph in eV/f.u.: 0.00
DFT total energy in Ry per atom: -0.0989
Magnetic moment in Bohr magnetons per cell: 0.000
Calculated density in g/cm3: 1.726

=====

5.
This record from the Alexandria database describes an optimized crystal structure of K3Na7Tl. The functional is PBE.

Structure (CIF):
```
data_K3Na7Tl
_chemical_formula_sum 'K6 Na14 Tl2'
_space_group_name_H-M_alt 'C 1 m 1'
_space_group_IT_number 8
_cell_length_a 13.006
_cell_length_b 12.246
_cell_length_c 7.180
_cell_angle_alpha 90.00
_cell_angle_beta 123.06
_cell_angle_gamma 90.00
loop_
_space_group_symop_operation_xyz
'x,y,z'
'x,-y,z'
'x+1/2,y+1/2,z'
'x+1/2,-y+1/2,z'
loop_
_atom_site_label
_atom_site_type_symbol
_atom_site_fract_x
_atom_site_fract_y
_atom_site_fract_z
K1 K 0.000 0.000 0.000
K2 K 0.124 0.330 0.370
Na1 Na 0.274 0.000 0.764
Na2 Na 0.277 0.260 0.023
Na3 Na 0.357 0.000 0.347
Na4 Na 0.403 0.500 0.394
Na5 Na 0.456 0.218 0.701
Tl1 Tl 0.135 0.500 0.873
```

Calculated values
ΔH_f (0 K) in eV/atom: 0.006
DFT total energy in Ry per atom: -0.0991
Magnetic moment in Bohr magnetons per cell: 0.000
Calculated density in g/cm3: 1.672

=====

6.
This record from the Alexandria database describes an optimized crystal structure of KNa2Tl2. The functional is PBE.

Structure (CIF):
```
data_KNa2Tl2
_chemical_formula_sum 'K2 Na4 Tl4'
_space_group_name_H-M_alt 'I 4/m m m'
_space_group_IT_number 139
_space_group_name_Hall '-I 4 2'
_cell_length_a 5.004
_cell_length_b 5.004
_cell_length_c 14.730
_cell_angle_alpha 90.00
_cell_angle_beta 90.00
_cell_angle_gamma 90.00
loop_
_atom_site_label
_atom_site_type_symbol
_atom_site_fract_x
_atom_site_fract_y
_atom_site_fract_z
K1 K 0.000 0.000 0.000
Na1 Na 0.000 0.500 0.250
Tl1 Tl 0.000 0.000 0.397
```

Calculated values
ΔH_f (0 K) in eV/atom: -0.032
E above lowest polymorph in eV/f.u.: 0.20
DFT total energy in Ry per atom: -0.1268
Magnetic moment in Bohr magnetons per cell: 0.000
Calculated density in g/cm3: 4.446

=====

7.
This record from the Alexandria database describes an optimized crystal structure of K3Na8Tl3. The functional is PBE.

Structure (CIF):
```
data_K3Na8Tl3
_chemical_formula_sum 'K6 Na16 Tl6'
_space_group_name_H-M_alt 'I m m m'
_space_group_IT_number 71
_space_group_name_Hall '-I 2 2'
_cell_length_a 5.659
_cell_length_b 13.158
_cell_length_c 15.000
_cell_angle_alpha 90.00
_cell_angle_beta 90.00
_cell_angle_gamma 90.00
loop_
_atom_site_label
_atom_site_type_symbol
_atom_site_fract_x
_atom_site_fract_y
_atom_site_fract_z
K1 K 0.000 0.000 0.000
K2 K 0.000 0.000 0.296
Na1 Na 0.000 0.296 0.125
Na2 Na 0.000 0.354 0.368
Tl1 Tl 0.000 0.150 0.500
Tl2 Tl 0.000 0.500 0.000
```

Calculated values
ΔH_f (0 K) in eV/atom: -0.019
DFT total energy in Ry per atom: -0.1114
Magnetic moment in Bohr magnetons per cell: 0.000
Calculated density in g/cm3: 2.719

=====

8.
This record from the Alexandria database describes an optimized crystal structure of KNa6Tl5. The functional is PBE.

Structure (CIF):
```
data_KNa6Tl5
_chemical_formula_sum 'K1 Na6 Tl5'
_space_group_name_H-M_alt 'P 1 2/m 1'
_space_group_IT_number 10
_cell_length_a 4.839
_cell_length_b 9.807
_cell_length_c 8.099
_cell_angle_alpha 90.00
_cell_angle_beta 106.56
_cell_angle_gamma 90.00
loop_
_space_group_symop_operation_xyz
'x,y,z'
'-x,-y,-z'
'-x,y,-z'
'x,-y,z'
loop_
_atom_site_label
_atom_site_type_symbol
_atom_site_fract_x
_atom_site_fract_y
_atom_site_fract_z
K1 K 0.000 0.000 0.000
Na1 Na 0.173 0.262 0.346
Na2 Na 0.500 0.276 0.000
Tl1 Tl 0.000 0.500 0.000
Tl2 Tl 0.321 0.000 0.644
Tl3 Tl 0.335 0.500 0.670
```

Calculated values
ΔH_f (0 K) in eV/atom: -0.087
DFT total energy in Ry per atom: -0.1340
Magnetic moment in Bohr magnetons per cell: 0.000
Calculated density in g/cm3: 5.405

=====

9.
This record from the Alexandria database describes an optimized crystal structure of KNa6Tl. The functional is PBE.

Structure (CIF):
```
data_KNa6Tl
_chemical_formula_sum 'K1 Na6 Tl1'
_space_group_name_H-M_alt 'P 4/m m m'
_space_group_IT_number 123
_space_group_name_Hall '-P 4 2'
_cell_length_a 5.564
_cell_length_b 5.564
_cell_length_c 9.628
_cell_angle_alpha 90.00
_cell_angle_beta 90.00
_cell_angle_gamma 90.00
loop_
_atom_site_label
_atom_site_type_symbol
_atom_site_fract_x
_atom_site_fract_y
_atom_site_fract_z
K1 K 0.000 0.000 0.000
Na1 Na 0.000 0.500 0.294
Na2 Na 0.500 0.500 0.000
Na3 Na 0.500 0.500 0.500
Tl1 Tl 0.000 0.000 0.500
```

Calculated values
ΔH_f (0 K) in eV/atom: -0.025
DFT total energy in Ry per atom: -0.1064
Magnetic moment in Bohr magnetons per cell: 0.000
Calculated density in g/cm3: 2.125

=====

10.
This record from the Alexandria database describes an optimized crystal structure of K3Na2Tl3. The functional is PBE.

Structure (CIF):
```
data_K3Na2Tl3
_chemical_formula_sum 'K3 Na2 Tl3'
_space_group_name_H-M_alt 'P -6 2 m'
_space_group_IT_number 189
_space_group_name_Hall 'P -6 -2'
_cell_length_a 9.8443
_cell_length_b 9.8443
_cell_length_c 3.5836
_cell_angle_alpha 90.00
_cell_angle_beta 90.00
_cell_angle_gamma 120.00
loop_
_atom_site_label
_atom_site_type_symbol
_atom_site_fract_x
_atom_site_fract_y
_atom_site_fract_z
K1 K 0.0000 0.7488 0.0000
Na1 Na 0.3333 0.6667 0.0000
Tl1 Tl 0.0000 0.3990 0.5000
```

Calculated values
ΔH_f (0 K) in eV/atom: -0.042
DFT total energy in Ry per atom: -0.1228
Magnetic moment in Bohr magnetons per cell: 0.000
Calculated density in g/cm3: 4.287

=====

11.
This record from the Alexandria database describes an optimized crystal structure of K4Na2Tl. The functional is PBE.

Structure (CIF):
```
data_K4Na2Tl
_chemical_formula_sum 'K8 Na4 Tl2'
_space_group_name_H-M_alt 'I 4/m m m'
_space_group_IT_number 139
_space_group_name_Hall '-I 4 2'
_cell_length_a 6.793
_cell_length_b 6.793
_cell_length_c 19.035
_cell_angle_alpha 90.00
_cell_angle_beta 90.00
_cell_angle_gamma 90.00
loop_
_atom_site_label
_atom_site_type_symbol
_atom_site_fract_x
_atom_site_fract_y
_atom_site_fract_z
K1 K 0.000 0.000 0.188
K2 K 0.000 0.500 0.000
Na1 Na 0.000 0.000 0.393
Tl1 Tl 0.000 0.000 0.000
```

Calculated values
ΔH_f (0 K) in eV/atom: 0.117
DFT total energy in Ry per atom: -0.0900
Magnetic moment in Bohr magnetons per cell: 0.000
Calculated density in g/cm3: 1.538

=====

12.
This record from the Alexandria database describes an optimized crystal structure of K2Na7Tl2. The functional is PBE.

Structure (CIF):
```
data_K2Na7Tl2
_chemical_formula_sum 'K4 Na14 Tl4'
_space_group_name_H-M_alt 'C 1 2/m 1'
_space_group_IT_number 12
_cell_length_a 12.283
_cell_length_b 11.202
_cell_length_c 6.951
_cell_angle_alpha 90.00
_cell_angle_beta 119.11
_cell_angle_gamma 90.00
loop_
_space_group_symop_operation_xyz
'x,y,z'
'-x,-y,-z'
'-x,y,-z'
'x,-y,z'
'x+1/2,y+1/2,z'
'-x+1/2,-y+1/2,-z'
'-x+1/2,y+1/2,-z'
'x+1/2,-y+1/2,z'
loop_
_atom_site_label
_atom_site_type_symbol
_atom_site_fract_x
_atom_site_fract_y
_atom_site_fract_z
K1 K 0.000 0.184 0.000
Na1 Na 0.000 0.000 0.500
Na2 Na 0.096 0.500 0.338
Na3 Na 0.173 0.256 0.693
Tl1 Tl 0.218 0.500 0.999
```

Calculated values
ΔH_f (0 K) in eV/atom: -0.014
DFT total energy in Ry per atom: -0.1090
Magnetic moment in Bohr magnetons per cell: 0.000
Calculated density in g/cm3: 2.575